No. 1
Below is La3Ag5 after structural relaxation, with properties calculated at the GGA-PBE level.

abc: 6.2549 7.9809 9.6430
angles: 82.70 71.08 66.93
Fractional coordinates of all 16 atoms:
Ag (0.1055, 0.5998, 0.3831)
Ag (0.8508, 0.7208, 0.1699)
La (0.7017, 0.3759, 0.3373)
La (0.3043, 0.3915, 0.0000)
Ag (0.7387, 0.0998, 0.1169)
Ag (0.1615, 0.0998, 0.8831)
Ag (0.2707, 0.2208, 0.3301)
Ag (0.7507, 0.4985, 0.0000)
La (0.5543, 0.8915, 0.5000)
Ag (0.2946, 0.5998, 0.6169)
La (0.8352, 0.8759, 0.8373)
La (0.2889, 0.8759, 0.1627)
Ag (0.4284, 0.7208, 0.8301)
La (0.9225, 0.3759, 0.6627)
Ag (0.5085, 0.2208, 0.6699)
Ag (0.0007, 0.9985, 0.5000)

Output
polymorph energy (0 for the lowest one): 0.000 eV/atom
D(E_F): 0.81 states/eV per atom
space-group type: Fdd2, No. 43

***

No. 2
Below is LaAg after structural relaxation, with properties calculated at the GGA-PBE level.

abc: 11.3310 4.4556 6.7985
angles: 90.00 90.00 90.00
Fractional coordinates of all 12 atoms:
La (0.1801, 0.5000, 0.1975)
Ag (0.3724, 0.0000, 0.1495)
Ag (0.1276, 0.5000, 0.6495)
Ag (0.5000, 0.5000, 0.9116)
La (0.5000, 0.5000, 0.3963)
La (0.6801, 0.0000, 0.6975)
Ag (0.0000, 0.0000, 0.4116)
Ag (0.6276, 0.0000, 0.1495)
Ag (0.8724, 0.5000, 0.6495)
La (0.0000, 0.0000, 0.8963)
La (0.8199, 0.5000, 0.1975)
La (0.3199, 0.0000, 0.6975)

Output
D(E_F): 1.19 states/eV per atom
space-group type: Imm2, No. 44

***

No. 3
Below is LaAg3 after structural relaxation, with properties calculated at the GGA-PBE level.

abc: 6.0663 6.0663 6.0663
angles: 90.00 90.00 90.00
Fractional coordinates of all 4 atoms:
La (0.0000, 0.0000, 0.0000)
Ag (0.0000, 0.5000, 0.0000)
Ag (0.0000, 0.0000, 0.5000)
Ag (0.5000, 0.0000, 0.0000)

Output
space-group type: Pm-3m, No. 221

***

no.,energy of formation (meV/atom)
1,-235
2,-151
3,1009